# 1
The following is a PBE calculation of a relaxed YPuCd crystal, from the Open Quantum Materials Database.

Properties
Total moment in μB per cell: 6.12
E above lowest polymorph in eV/atom: 0.000
Density in Mg/m³: 8.7
Space group: F-43m

```
YPuCd
1.0
0.000 3.490 3.490
3.490 0.000 3.490
3.490 3.490 0.000
Y Pu Cd
1 1 1
Direct
0.000 0.000 0.000
0.250 0.250 0.250
0.750 0.750 0.750
```

***

# 2
The following is a PBE calculation of a relaxed SrNdSi3Ag crystal, from the Open Quantum Materials Database.

Properties
Total moment in μB per cell: 0.00
E above lowest polymorph in eV/atom: 0.000
Density in Mg/m³: 5.2
Space group: Fmmm

```
SrNdSi3Ag
1.0
0.000 4.386 7.339
4.190 0.000 7.339
4.190 4.386 0.000
Sr Nd Si Ag
2 2 6 2
Direct
0.250 0.250 0.250
0.750 0.750 0.750
0.241 0.759 0.241
0.759 0.241 0.759
0.160 0.160 0.840
0.167 0.674 0.833
0.326 0.833 0.674
0.674 0.167 0.326
0.833 0.326 0.167
0.840 0.840 0.160
0.333 0.333 0.667
0.667 0.667 0.333
```

***

# 3
The following is a PBE calculation of a relaxed MgCoB4 crystal, from the Open Quantum Materials Database.

Properties
Total moment in μB per cell: 0.00
E above lowest polymorph in eV/atom: 0.155
Density in Mg/m³: 4.2
Space group: P6/mmm

```
MgCoB4
1.0
3.012 0.000 0.000
-1.506 2.609 0.000
0.000 0.000 6.432
Mg Co B
1 1 4
Direct
0.000 0.000 0.000
0.000 0.000 0.500
0.333 0.667 0.279
0.333 0.667 0.721
0.667 0.333 0.279
0.667 0.333 0.721
```

***

# 4
The following is a PBE calculation of a relaxed Tb4SmIn5 crystal, from the Open Quantum Materials Database.

Properties
Calculated total energy in eV per atom: -4.17
Total moment in μB per cell: 0.02
Density in Mg/m³: 8.4
Space group: P4/mmm

```
Tb4SmIn5
1.0
3.772 0.000 0.000
0.000 3.772 0.000
0.000 0.000 18.951
Tb Sm In
4 1 5
Direct
0.000 0.000 0.099
0.000 0.000 0.297
0.000 0.000 0.703
0.000 0.000 0.901
0.000 0.000 0.500
0.500 0.500 0.000
0.500 0.500 0.198
0.500 0.500 0.396
0.500 0.500 0.604
0.500 0.500 0.802
```

***

# 5
The following is a PBE calculation of a relaxed NpInBi crystal, from the Open Quantum Materials Database.

Properties
Total moment in μB per cell: 4.66
E above lowest polymorph in eV/atom: 0.000
Density in Mg/m³: 9.7
Space group: F-43m

```
NpInBi
1.0
0.000 3.640 3.640
3.640 0.000 3.640
3.640 3.640 0.000
Np In Bi
1 1 1
Direct
0.000 0.000 0.000
0.250 0.250 0.250
0.750 0.750 0.750
```

***

# 6
The following is a PBE calculation of a relaxed La2TaF8 crystal, from the Open Quantum Materials Database.

Properties
Calculated total energy in eV per atom: -6.49
Total moment in μB per cell: 2.82
Density in Mg/m³: 6.7
Space group: I-4

```
La2TaF8
1.0
-2.555 2.555 5.822
2.555 -2.555 5.822
2.555 2.555 -5.822
La Ta F
2 1 8
Direct
0.176 0.176 0.000
0.824 0.824 0.000
0.500 0.500 0.000
0.092 0.246 0.648
0.217 0.358 0.472
0.255 0.783 0.141
0.556 0.908 0.153
0.597 0.444 0.352
0.642 0.113 0.859
0.754 0.403 0.847
0.887 0.745 0.528
```